First-principles (PBE-GGA) data for an optimized crystal structure of RePtN2F, as listed in Alexandria via LeMat-Bulk.

a b c (Å): 3.9158 3.9158 4.0384
angles (deg): 90.00 90.00 90.00
With the nearest neighbours (Å) after each atom.
Space group P4/mmm (No. 123)
Asymmetric unit:
Re (0.0000, 0.0000, 0.0000)  4 N 1.96, 2 F 2.02
Pt (0.5000, 0.5000, 0.5000)  4 F 2.77, 8 N 2.81
N (0.0000, 0.5000, 0.0000)  2 Re 1.96
F (0.0000, 0.0000, 0.5000)  2 Re 2.02

Formation energy without anion corrections ... 0.5895 eV per atom
Energy relative to the lowest polymorph listed for this composition ... 0 meV per atom

First-principles (PBE-GGA) data for an optimized crystal structure of RePtN2F, as listed in Alexandria via LeMat-Bulk.

a b c (Å): 3.9988 3.9988 4.1353
angles (deg): 90.00 90.00 90.00
With the nearest neighbours (Å) after each atom.
Space group P4/mmm (No. 123)
Asymmetric unit:
Re (0.0000, 0.0000, 0.0000)  4 F 2.83, 8 N 2.88
Pt (0.5000, 0.5000, 0.5000)  4 N 2.00, 2 F 2.07
N (0.0000, 0.5000, 0.5000)  2 Pt 2.00
F (0.5000, 0.5000, 0.0000)  2 Pt 2.07

Formation energy without anion corrections ... 1.6778 eV per atom
Energy relative to the lowest polymorph listed for this composition ... 1088 meV per atom

First-principles (PBE-GGA) data for an optimized crystal structure of PtRhNF2, as listed in Alexandria via LeMat-Bulk.

a b c (Å): 4.2501 4.2501 3.7278
angles (deg): 90.00 90.00 90.00
With the nearest neighbours (Å) after each atom.
Space group P4/mmm (No. 123)
Asymmetric unit:
Pt (0.0000, 0.0000, 0.0000)  8 F 2.83, 4 N 3.01
Rh (0.5000, 0.5000, 0.5000)  2 N 1.86
N (0.5000, 0.5000, 0.0000)  2 Rh 1.86
F (0.0000, 0.5000, 0.5000)  2 Rh 2.13

Formation energy without anion corrections ... 0.3598 eV per atom
Energy relative to the lowest polymorph listed for this composition ... 0 meV per atom

First-principles (PBE-GGA) data for an optimized crystal structure of PtRhNF2, as listed in Alexandria via LeMat-Bulk.

a b c (Å): 4.5308 4.5308 3.6655
angles (deg): 90.00 90.00 90.00
With the nearest neighbours (Å) after each atom.
Space group P4/mmm (No. 123)
Asymmetric unit:
Pt (0.0000, 0.0000, 0.0000)  2 N 1.83
Rh (0.5000, 0.5000, 0.5000)  8 F 2.91, 4 N 3.20
N (0.0000, 0.0000, 0.5000)  2 Pt 1.83
F (0.0000, 0.5000, 0.0000)  2 Pt 2.27

Formation energy without anion corrections ... 0.4337 eV per atom
Energy relative to the lowest polymorph listed for this composition ... 74 meV per atom

First-principles (PBE-GGA) data for an optimized crystal structure of PtS2NF, as listed in Alexandria via LeMat-Bulk.

a b c (Å): 4.4535 4.4535 3.6720
angles (deg): 90.00 90.00 90.00
With the nearest neighbours (Å) after each atom.
Space group P4/mmm (No. 123)
Asymmetric unit:
Pt (0.0000, 0.0000, 0.0000)  8 S 2.89, 4 N 3.15
S (0.0000, 0.5000, 0.5000)  2 F 2.23
N (0.5000, 0.5000, 0.0000)  2 F 1.84
F (0.5000, 0.5000, 0.5000)  2 N 1.84

Formation energy without anion corrections ... 1.7242 eV per atom
Energy relative to the lowest polymorph listed for this composition ... 865 meV per atom

First-principles (PBE-GGA) data for an optimized crystal structure of PtS2NF, as listed in Alexandria via LeMat-Bulk.

a b c (Å): 4.9900 4.9900 3.6688
angles (deg): 90.00 90.00 90.00
With the nearest neighbours (Å) after each atom.
Space group P4/mmm (No. 123)
Asymmetric unit:
Pt (0.0000, 0.0000, 0.0000)  2 N 1.83
S (0.0000, 0.5000, 0.0000)  2 Pt 2.49
N (0.0000, 0.0000, 0.5000)  2 Pt 1.83
F (0.5000, 0.5000, 0.5000)  8 S 3.10

Formation energy without anion corrections ... 0.8590 eV per atom
Energy relative to the lowest polymorph listed for this composition ... 0 meV per atom